[1]
Computed, not measured: a relaxed BAsPdO crystal at the PBE level of DFT.

```
8
Lattice="3.0949 0.0000 0.0000 0.0000 7.8125 0.0000 0.0000 0.0000 4.5761" Properties=species:S:1:pos:R:3 pbc="T T T"
As 0.0000 6.1149 2.0563
As 0.0000 1.6976 4.3444
B 1.5474 3.2406 0.1261
B 1.5474 4.5719 2.4142
O 1.5474 3.5577 1.4714
O 1.5474 4.2548 3.7594
Pd 0.0000 0.7434 2.0846
Pd 0.0000 7.0691 4.3726
```

Calculated values
* E: -49.21 eV/cell
* ΔE to the lowest computed polymorph: 0.0 meV per atom

=====

[2]
Computed, not measured: a relaxed BAsPdO crystal at the PBE level of DFT.

```
8
Lattice="-2.5038 -1.1892 -2.1955 2.4783 -1.5615 -1.9806 -0.7497 -7.2667 4.7909" Properties=species:S:1:pos:R:3 pbc="T T T"
As 1.0170 -2.9339 0.4293
As -1.7794 -5.7081 2.2736
B 1.1948 -1.2108 -0.7068
B -1.9572 -7.4312 3.4096
O 0.0000 0.0000 0.0000
O -0.0127 -1.3753 -2.0880
Pd -0.3748 -3.6334 2.3955
Pd -0.3876 -5.0087 0.3074
```

Calculated values
* E: -43.47 eV/cell
* ΔE to the lowest computed polymorph: 717.8 meV per atom

=====

[3]
Computed, not measured: a relaxed PrBAsO crystal at the PBE level of DFT.

```
8
Lattice="4.1219 0.0000 0.0000 0.0000 6.2893 0.0000 0.0000 0.0000 6.0917" Properties=species:S:1:pos:R:3 pbc="T T T"
As 0.0000 4.8673 2.7089
As 0.0000 1.4220 5.7548
B 2.0610 4.0073 2.6267
B 2.0610 2.2820 5.6726
O 2.0610 2.6595 2.6282
O 2.0610 3.6298 5.6740
Pr 0.0000 1.5912 2.7210
Pr 0.0000 4.6982 5.7669
```

Calculated values
* E: -51.78 eV/cell
* ΔE to the lowest computed polymorph: 59.8 meV per atom

=====

[4]
Computed, not measured: a relaxed PrBAsO crystal at the PBE level of DFT.

```
8
Lattice="-1.4084 2.0617 -3.2628 2.3538 -2.2938 -2.4655 -5.5766 -4.9487 -0.7198" Properties=species:S:1:pos:R:3 pbc="T T T"
As -1.4555 -2.0948 -4.5756
As -3.1758 -3.0859 -1.8725
B -3.2562 -1.5015 -3.4234
B -1.3751 -3.6793 -3.0247
O -0.4679 0.9728 -3.0635
O 1.4132 -1.2049 -2.6648
Pr -0.6426 -0.8380 -1.5455
Pr -3.9886 -4.3427 -4.9026
```

Calculated values
* E: -52.26 eV/cell
* ΔE to the lowest computed polymorph: 0.0 meV per atom

=====

Please write out number 3 again, unchanged.
Computed, not measured: a relaxed PrBAsO crystal at the PBE level of DFT.

```
8
Lattice="4.1219 0.0000 0.0000 0.0000 6.2893 0.0000 0.0000 0.0000 6.0917" Properties=species:S:1:pos:R:3 pbc="T T T"
As 0.0000 4.8673 2.7089
As 0.0000 1.4220 5.7548
B 2.0610 4.0073 2.6267
B 2.0610 2.2820 5.6726
O 2.0610 2.6595 2.6282
O 2.0610 3.6298 5.6740
Pr 0.0000 1.5912 2.7210
Pr 0.0000 4.6982 5.7669
```

Calculated values
* E: -51.78 eV/cell
* ΔE to the lowest computed polymorph: 59.8 meV per atom